A relaxed structure of BePbWF2, computed with PBE+U.

a b c (Å): 3.769 3.769 6.817
angles (deg): 90.00 90.00 90.00
Fractional coordinates of all 5 atoms:
Be 0.000 0.000 0.000
Pb 0.000 0.000 0.500
W 0.500 0.500 0.500
F 0.000 0.500 0.000
F 0.500 0.000 0.000

Output
- Size of the total moment: 2.2 Bohr magnetons per cell
- Density: 7.51 Mg/m³
- VASP energy: -21.0 eV/f.u.
- Fermi-level density of states: 0.48 states/eV/cell
- Space group: P4/mmm